No. 1
TaNiGe, optimized geometry, DFT GGA-PBEsol; total magnetic moment = 0.00 μB per formula unit; formation energy from the elements = -496 meV per atom; SG = Pnma (62)
1.0
-1.1523 -3.5449 -0.4160
5.9058 -1.9323 0.1077
-0.3618 -0.7117 7.0664
Ge Ni Ta
4 4 4
Direct
0.7500 0.7843 0.3873
0.2500 0.7157 0.8873
0.7500 0.2843 0.1127
0.2500 0.2157 0.6127
0.7500 0.1643 0.4268
0.7500 0.6643 0.0732
0.2500 0.8357 0.5732
0.2500 0.3357 0.9268
0.7500 0.0147 0.8215
0.2500 0.9853 0.1785
0.7500 0.5147 0.6785
0.2500 0.4853 0.3215

---

No. 2
Ni11Ge2Te4, optimized geometry, DFT GGA-PBEsol; total magnetic moment = 0.00 μB per formula unit; SG = P4mm (99); raw formation energy = -267 meV per atom
1.0
3.6479 0.0000 0.0000
0.0000 3.6479 0.0000
0.0000 0.0000 18.7838
Ni Te Ge
11 4 2
Direct
0.0000 0.5000 0.5900
0.5000 0.0000 0.5900
0.0000 0.0000 0.5013
0.0000 0.5000 0.4118
0.5000 0.0000 0.4118
0.5000 0.5000 0.0001
0.0000 0.5000 0.0889
0.5000 0.0000 0.9113
0.5000 0.0000 0.0889
0.5000 0.5000 0.3093
0.0000 0.5000 0.9113
0.5000 0.5000 0.8214
0.0000 0.0000 0.6798
0.5000 0.5000 0.1774
0.0000 0.0000 0.3163
0.5000 0.5000 0.5003
0.0000 0.0000 0.9998

---

No. 3
Ni2GeTe, optimized geometry, DFT GGA-PBEsol; total magnetic moment = 0.00 μB per formula unit; SG = Fm-3m (225); raw formation energy = 99 meV per atom
1.0
4.3947 0.0000 0.0000
2.1974 3.8059 0.0000
2.1974 1.2686 3.5883
Te Ni Ge
1 2 1
Direct
0.5000 0.5000 0.5000
0.2500 0.2500 0.2500
0.7500 0.7500 0.7500
0.0000 0.0000 0.0000

---

No. 4
TmNiGe, optimized geometry, DFT GGA-PBEsol; total magnetic moment = 0.00 μB per formula unit; formation energy from the elements = -784 meV per atom; SG = C2/m (12)
1.0
-2.9005 -2.6359 -1.0134
1.6880 -3.5815 -3.6014
0.3452 -4.5878 2.8593
Ge Tm Ni
2 2 2
Direct
0.8298 0.2388 0.1016
0.1702 0.7612 0.8984
0.4476 0.7924 0.3125
0.5524 0.2076 0.6875
0.8327 0.6158 0.7189
0.1673 0.3842 0.2811

---

No. 5
TmNiGe2, optimized geometry, DFT GGA-PBEsol; total magnetic moment = 0.00 μB per formula unit; formation energy from the elements = -756 meV per atom; SG = Immm (71)
1.0
-0.0080 -4.0801 -0.1940
1.8721 -0.3909 8.1412
-8.5381 2.1674 -2.2278
Tm Ge Ni
4 8 4
Direct
0.0000 0.2388 0.0000
0.0000 0.7612 0.0000
0.2041 0.2041 0.4083
0.7959 0.7959 0.5917
0.1963 0.5384 0.3927
0.8037 0.4616 0.6073
0.4226 0.9226 0.8452
0.8037 0.1457 0.6073
0.5801 0.5801 0.1602
0.1963 0.8543 0.3927
0.5774 0.0774 0.1548
0.4199 0.4199 0.8398
0.6478 0.8990 0.2956
0.6478 0.3966 0.2956
0.3522 0.6034 0.7044
0.3522 0.1010 0.7044

---

No. 6
TmNiGe, optimized geometry, DFT GGA-PBEsol; total magnetic moment = 0.00 μB per formula unit; formation energy from the elements = -872 meV per atom; SG = Pnma (62)
1.0
4.1421 0.0000 0.0000
0.0000 6.7070 0.0000
0.0000 0.0000 7.1269
Ge Ni Tm
4 4 4
Direct
0.7500 0.1959 0.0890
0.2500 0.8041 0.9110
0.7500 0.6959 0.4110
0.2500 0.3041 0.5890
0.7500 0.8074 0.0821
0.2500 0.1926 0.9179
0.7500 0.3074 0.4179
0.2500 0.6926 0.5821
0.2500 0.9921 0.2949
0.2500 0.4921 0.2051
0.7500 0.0079 0.7051
0.7500 0.5079 0.7949

---

No. 7
UNiGe, optimized geometry, DFT GGA-PBEsol; total magnetic moment = 0.01 μB per formula unit; formation energy from the elements = -312 meV per atom; SG = C2/m (12)
1.0
-0.9719 0.6757 3.8082
-0.3542 -4.7460 0.7516
5.6062 1.4427 -0.9133
Ge U Ni
2 2 2
Direct
0.5954 0.7500 0.1907
0.4046 0.2500 0.8093
0.8971 0.7741 0.7942
0.1029 0.2259 0.2058
0.2157 0.7845 0.4315
0.7843 0.2155 0.5685

---

No. 8
UNiGe, optimized geometry, DFT GGA-PBEsol; total magnetic moment = 0.61 μB per formula unit; formation energy from the elements = -406 meV per atom; SG = Pnma (62)
1.0
-0.5246 2.3162 2.8431
-7.0927 -0.7382 -0.7074
0.1236 -5.5120 4.5132
U Ge Ni
4 4 4
Direct
0.2500 0.9901 0.8700
0.2500 0.4901 0.6300
0.7500 0.5099 0.3700
0.7500 0.0099 0.1300
0.2500 0.8425 0.4125
0.2500 0.3425 0.0875
0.7500 0.1575 0.5875
0.7500 0.6575 0.9125
0.2500 0.1801 0.3827
0.7500 0.8199 0.6173
0.2500 0.6801 0.1173
0.7500 0.3199 0.8827

---

No. 9
YNiGe, optimized geometry, DFT GGA-PBEsol; total magnetic moment = 0.00 μB per formula unit; formation energy from the elements = -772 meV per atom; SG = C2/m (12)
1.0
-3.1174 2.0211 1.6949
-3.8710 1.1843 -3.6128
-4.0903 -3.3700 1.4147
Ge Ni Y
2 2 2
Direct
0.8289 0.2410 0.1012
0.1711 0.7590 0.8988
0.8314 0.6143 0.7229
0.1686 0.3857 0.2771
0.5527 0.2066 0.6880
0.4473 0.7934 0.3120

---

No. 10
YNi2Ge2, optimized geometry, DFT GGA-PBEsol; total magnetic moment = 0.00 μB per formula unit; formation energy from the elements = -756 meV per atom; SG = I4/mmm (139)
1.0
4.0126 0.0000 0.0000
0.0000 4.0126 0.0000
-2.0063 -2.0063 4.8368
Ge Ni Y
2 2 1
Direct
0.6288 0.6288 0.2575
0.3712 0.3712 0.7425
0.7500 0.2500 0.5000
0.2500 0.7500 0.5000
0.0000 0.0000 0.0000

---

No. 11
Y3NiGe2, optimized geometry, DFT GGA-PBEsol; total magnetic moment = 0.00 μB per formula unit; formation energy from the elements = -857 meV per atom; SG = Pnma (62)
1.0
4.1211 0.0000 0.0000
0.0000 11.1582 0.0000
0.0000 0.0000 11.2523
Y Ge Ni
12 8 4
Direct
0.7500 0.5590 0.6184
0.2500 0.8040 0.7181
0.7500 0.6275 0.9435
0.7500 0.3040 0.7819
0.7500 0.1960 0.2819
0.2500 0.0590 0.8816
0.7500 0.9410 0.1184
0.2500 0.4410 0.3816
0.2500 0.6960 0.2181
0.7500 0.8725 0.4435
0.2500 0.1275 0.5565
0.2500 0.3725 0.0565
0.7500 0.9982 0.6934
0.2500 0.8129 0.9801
0.2500 0.4982 0.8066
0.2500 0.0018 0.3066
0.2500 0.6871 0.4801
0.7500 0.5018 0.1934
0.7500 0.1871 0.0199
0.7500 0.3129 0.5199
0.7500 0.8684 0.8700
0.2500 0.1316 0.1300
0.7500 0.6316 0.3700
0.2500 0.3684 0.6300

---

No. 12
YNi5Ge3, optimized geometry, DFT GGA-PBEsol; total magnetic moment = 0.00 μB per formula unit; formation energy from the elements = -591 meV per atom; SG = Pnma (62)
1.0
-3.5055 -1.4957 0.0630
1.9233 -4.6940 -4.4217
5.0782 -11.3035 14.2086
Ge Y Ni
12 4 20
Direct
0.2500 0.4096 0.5868
0.2500 0.6484 0.0755
0.7500 0.5904 0.4132
0.7500 0.8832 0.2368
0.7500 0.3516 0.9245
0.2500 0.3832 0.2632
0.7500 0.1484 0.4245
0.2500 0.0904 0.0868
0.2500 0.1168 0.7632
0.2500 0.8516 0.5755
0.7500 0.9096 0.9132
0.7500 0.6168 0.7368
0.2500 0.8784 0.3551
0.2500 0.6216 0.8551
0.7500 0.3784 0.1449
0.7500 0.1216 0.6449
0.7500 0.5738 0.2918
0.2500 0.1347 0.5040
0.2500 0.4262 0.7082
0.2500 0.3653 0.0040
0.2500 0.8837 0.9863
0.2500 0.1430 0.8875
0.7500 0.8653 0.4960
0.7500 0.1897 0.3000
0.7500 0.8570 0.1125
0.7500 0.1163 0.0137
0.7500 0.9262 0.7918
0.2500 0.8103 0.7000
0.2500 0.0738 0.2082
0.2500 0.6163 0.4863
0.2500 0.6897 0.2000
0.7500 0.3103 0.8000
0.7500 0.6430 0.6125
0.7500 0.3837 0.5137
0.2500 0.3570 0.3875
0.7500 0.6347 0.9960